Density functional theory data (PBE) for a relaxed Tb3HoBi2 crystal.

Cell lengths 9.527, 9.527, 10.052 Å; angles 113.48, 113.48, 26.23 degrees
Sites, in units of the cell vectors:
Tb 0.055 0.055 0.170
Tb 0.312 0.312 0.608
Tb 0.358 0.358 0.022
Tb 0.642 0.642 0.978
Tb 0.688 0.688 0.392
Tb 0.945 0.945 0.830
Ho 0.110 0.110 0.606
Ho 0.890 0.890 0.394
Bi 0.252 0.252 0.220
Bi 0.493 0.493 0.658
Bi 0.507 0.507 0.342
Bi 0.748 0.748 0.780

Summary:
Energy above the lowest structure with this stoichiometry ... 126 meV per atom